UPPt | PBE | optimized geometry

The space group is Imm2 (No. 44) and the conventional cell measures 3.9521, 5.0954 and 6.0891 Å, with angles of 90.00, 90.00 and 90.00 degrees. The asymmetric unit holds U at (0.0000, 0.0000, 0.0000), P at (0.0000, 0.5000, 0.1812) and Pt at (0.0000, 0.0000, 0.4642).

The value obtained for the density of states at the Fermi level is 5.949 states/eV/f.u. The calculation puts the calculated total energy at -48.68 eV/cell.